Entry 1:
Sc3SnP: PBEsol geometry, SCAN.

Output
Symmetry: No. 221
Energy of formation (eV/f.u.): 1.7
Raw total energy (eV per atom): -17.47

a b c (Å): 5.191 5.191 5.191
angles (deg): 90.00 90.00 90.00
Sites, in units of the cell vectors:
Sc 0.000 0.000 0.500
Sc 0.000 0.500 0.000
Sc 0.500 0.000 0.000
Sn 0.000 0.000 0.000
P 0.500 0.500 0.500

---

Entry 2:
Hg2SbP: PBEsol geometry, SCAN.

Output
Symmetry: No. 160
Formation energy from raw total energies (eV/atom): 0.116
Raw total energy (eV per atom): -45.88
Distance to the lowest polymorph of the same formula (meV/atom): 0

a b c (Å): 7.827 7.827 7.827
angles (deg): 28.01 28.01 28.01
Sites, in units of the cell vectors:
Hg 0.000 0.000 0.000
Hg 0.246 0.246 0.246
Sb 0.481 0.481 0.481
P 0.748 0.748 0.748

---

Entry 3:
RbYIrC2: PBEsol geometry, SCAN.

Output
Symmetry: No. 123
Energy of formation (eV/f.u.): 13.9
Raw total energy (eV per atom): -25.19

a b c (Å): 4.455 4.455 5.503
angles (deg): 90.00 90.00 90.00
Sites, in units of the cell vectors:
Rb 0.000 0.000 0.000
Y 0.000 0.000 0.500
Ir 0.500 0.500 0.000
C 0.000 0.500 0.500
C 0.500 0.000 0.500